Run P
# Er8OsPd2 | Alexandria | PBE-GGA | optimized geometry
# Mass density ... 10.46 Mg/m³
# Fermi-level density of states ... 1.091 states/eV per atom
data_Er8OsPd2
_cell_length_a 17.070
_cell_length_b 5.031
_cell_length_c 6.736
_cell_angle_alpha 90.00
_cell_angle_beta 107.18
_cell_angle_gamma 90.00
_space_group_name_H-M_alt 'C 1 2/m 1'
_space_group_IT_number 12
loop_
_space_group_symop_operation_xyz
'x,y,z'
'-x,-y,-z'
'-x,y,-z'
'x,-y,z'
'x+1/2,y+1/2,z'
'-x+1/2,-y+1/2,-z'
'-x+1/2,y+1/2,-z'
'x+1/2,-y+1/2,z'
loop_
_atom_site_label
_atom_site_type_symbol
_atom_site_fract_x
_atom_site_fract_y
_atom_site_fract_z
Er1 Er 0.031 0.000 0.296
Er2 Er 0.091 0.500 0.937
Er3 Er 0.165 0.500 0.468
Er4 Er 0.200 0.000 0.811
Os1 Os 0.000 0.500 0.500
Pd1 Pd 0.187 0.000 0.209

Run Q
# Er8OsPd2 | Alexandria | PBE-GGA | optimized geometry
# Mass density ... 9.90 Mg/m³
# Fermi-level density of states ... 1.048 states/eV per atom
data_Er8OsPd2
_cell_length_a 8.212
_cell_length_b 12.900
_cell_length_c 5.897
_cell_angle_alpha 90.00
_cell_angle_beta 110.75
_cell_angle_gamma 90.00
_space_group_name_H-M_alt 'C 1 m 1'
_space_group_IT_number 8
loop_
_space_group_symop_operation_xyz
'x,y,z'
'x,-y,z'
'x+1/2,y+1/2,z'
'x+1/2,-y+1/2,z'
loop_
_atom_site_label
_atom_site_type_symbol
_atom_site_fract_x
_atom_site_fract_y
_atom_site_fract_z
Er1 Er 0.000 0.000 0.000
Er2 Er 0.064 0.376 0.763
Er3 Er 0.146 0.124 0.562
Er4 Er 0.209 0.500 0.351
Er5 Er 0.352 0.207 0.174
Os1 Os 0.354 0.000 0.338
Pd1 Pd 0.359 0.307 0.677

How do the energies compare? Relative to the most stable structure, in kJ/mol of atoms: run P 0.0; run Q 9.1.